No. 1
## ThScNiMo (PBE)

Data for a geometry-optimized ThScNiMo structure.

Computed properties:
As for the formation energy: -0.051 eV/atom. Its uncorrected energy is -7.642 eV/atom. Its density of states at the Fermi level is 3.70 states/eV/f.u.

abc: 6.777 6.777 6.777
angles: 90.00 90.00 90.00
Space group F-43m (No. 216)
Unique sites:
Th 0.000 0.000 0.000 x4
Sc 0.000 0.000 0.500 x4
Ni 0.250 0.250 0.750 x4
Mo 0.250 0.250 0.250 x4

***

No. 2
## ScTiNiMo (PBE)

Data for a geometry-optimized ScTiNiMo structure.

Computed properties:
As for the formation energy: -0.129 eV/atom. Its uncorrected energy is -7.838 eV/atom. Its density of states at the Fermi level is 4.25 states/eV/f.u.

abc: 6.307 6.307 6.307
angles: 90.00 90.00 90.00
Space group F-43m (No. 216)
Unique sites:
Sc 0.000 0.000 0.000 x4
Ti 0.000 0.000 0.500 x4
Ni 0.250 0.250 0.250 x4
Mo 0.250 0.250 0.750 x4

***

No. 3
## ZrScNiMo (PBE)

Data for a geometry-optimized ZrScNiMo structure.

Computed properties:
As for the formation energy: -0.104 eV/atom. Its uncorrected energy is -7.977 eV/atom. Its density of states at the Fermi level is 3.88 states/eV/f.u.

abc: 6.517 6.517 6.517
angles: 90.00 90.00 90.00
Space group F-43m (No. 216)
Unique sites:
Zr 0.000 0.000 0.000 x4
Sc 0.000 0.000 0.500 x4
Ni 0.250 0.250 0.250 x4
Mo 0.250 0.250 0.750 x4

***

No. 4
## Ni2MoSe (PBE)

Data for a geometry-optimized Ni2MoSe structure.

Computed properties:
Its uncorrected energy is -6.297 eV/atom. Its density of states at the Fermi level is 5.09 states/eV/f.u.

abc: 2.953 4.238 8.590
angles: 90.00 90.00 90.00
Space group Immm (No. 71)
Unique sites:
Ni 0.000 0.000 0.231 x4
Mo 0.000 0.500 0.000 x2
Se 0.000 0.500 0.500 x2

***

No. 5
## Ni2MoSe (PBE)

Data for a geometry-optimized Ni2MoSe structure.

Computed properties:
Its uncorrected energy is -6.239 eV/atom. Its density of states at the Fermi level is 4.05 states/eV/f.u.

abc: 4.984 7.753 2.842
angles: 90.00 90.00 90.00
Space group Cmmm (No. 65)
Unique sites:
Ni 0.250 0.250 0.000 x4
Mo 0.000 0.000 0.500 x2
Se 0.000 0.500 0.500 x2

***

No. 6
## Ni2MoSe (PBE)

Data for a geometry-optimized Ni2MoSe structure.

Computed properties:
Its uncorrected energy is -6.326 eV/atom. Its density of states at the Fermi level is 4.48 states/eV/f.u.

abc: 3.230 3.133 11.166
angles: 90.00 90.00 90.00
Space group Amm2 (No. 38)
Unique sites:
Ni 0.000 0.000 0.000 x2
Ni 0.500 0.000 0.378 x2
Mo 0.000 0.000 0.761 x2
Se 0.500 0.000 0.589 x2

***

No. 7
## Ni2MoSe (PBE)

Data for a geometry-optimized Ni2MoSe structure.

Computed properties:
Its uncorrected energy is -6.313 eV/atom. Its density of states at the Fermi level is 4.46 states/eV/f.u.

abc: 5.982 5.982 5.982
angles: 90.00 90.00 90.00
Space group F-43m (No. 216)
Unique sites:
Ni 0.000 0.000 0.000 x4
Ni 0.250 0.250 0.250 x4
Mo 0.000 0.000 0.500 x4
Se 0.250 0.250 0.750 x4

***

No. 8
## Ni4MoSe (PBE)

Data for a geometry-optimized Ni4MoSe structure.

Computed properties:
Its uncorrected energy is -5.985 eV/atom. Its density of states at the Fermi level is 5.03 states/eV/f.u.

abc: 6.737 6.737 6.737
angles: 90.00 90.00 90.00
Space group F-43m (No. 216)
Unique sites:
Ni 0.124 0.124 0.376 x16
Mo 0.250 0.250 0.750 x4
Se 0.000 0.000 0.000 x4

***

No. 9
## Ni2MoSe (PBE)

Data for a geometry-optimized Ni2MoSe structure.

Computed properties:
Its uncorrected energy is -6.251 eV/atom. Its density of states at the Fermi level is 1.81 states/eV/f.u.

abc: 6.722 6.722 5.013
angles: 90.00 90.00 90.00
Space group I-42d (No. 122)
Unique sites:
Ni 0.227 0.750 0.125 x8
Mo 0.000 0.000 0.500 x4
Se 0.000 0.000 0.000 x4

***

No. 10
## Ni2MoSe (PBE)

Data for a geometry-optimized Ni2MoSe structure.

Computed properties:
Its uncorrected energy is -6.384 eV/atom. Its density of states at the Fermi level is 4.13 states/eV/f.u.

abc: 3.106 3.106 5.565
angles: 90.00 90.00 90.00
Space group P4mm (No. 99)
Unique sites:
Ni 0.000 0.000 0.000 x1
Ni 0.500 0.500 0.213 x1
Mo 0.500 0.500 0.735 x1
Se 0.000 0.000 0.462 x1

***

No. 11
## Ni2MoSe (PBE)

Data for a geometry-optimized Ni2MoSe structure.

Computed properties:
Its uncorrected energy is -6.250 eV/atom. Its density of states at the Fermi level is 3.84 states/eV/f.u.

abc: 8.820 2.972 4.273
angles: 90.00 93.47 90.00
Space group C2/m (No. 12)
Unique sites:
Ni 0.232 0.000 0.232 x4
Mo 0.000 0.500 0.000 x2
Se 0.000 0.000 0.500 x2

***

No. 12
## NiMo3Se (PBE)

Data for a geometry-optimized NiMo3Se structure.

Computed properties:
The calculation puts the energy above the most stable polymorph in this dataset at 0.00 eV/f.u. Its uncorrected energy is -6.977 eV/atom. Its density of states at the Fermi level is 5.85 states/eV/f.u.

abc: 4.522 4.522 4.522
angles: 90.00 90.00 90.00
Space group Pm-3m (No. 221)
Unique sites:
Ni 0.000 0.000 0.000 x1
Mo 0.000 0.000 0.500 x3
Se 0.500 0.500 0.500 x1

***

No. 13
## Ni2MoSe (PBE)

Data for a geometry-optimized Ni2MoSe structure.

Computed properties:
Its uncorrected energy is -6.311 eV/atom. Its density of states at the Fermi level is 4.08 states/eV/f.u.

abc: 2.745 2.745 7.383
angles: 90.00 90.00 90.00
Space group P4/mmm (No. 123)
Unique sites:
Ni 0.000 0.000 0.245 x2
Mo 0.500 0.500 0.000 x1
Se 0.500 0.500 0.500 x1

***

No. 14
## Ni2MoSe6 (PBE)

Data for a geometry-optimized Ni2MoSe6 structure.

Computed properties:
Its uncorrected energy is -4.992 eV/atom. Its density of states at the Fermi level is 6.48 states/eV/f.u.

abc: 5.163 6.232 10.795
angles: 90.00 90.00 90.00
Space group Pnnm (No. 58)
Unique sites:
Ni 0.000 0.000 0.174 x4
Mo 0.000 0.500 0.000 x2
Se 0.220 0.187 0.341 x8
Se 0.244 0.657 0.500 x4

***

No. 15
## Ni2MoSe (PBE)

Data for a geometry-optimized Ni2MoSe structure.

Computed properties:
Its uncorrected energy is -6.259 eV/atom. Its density of states at the Fermi level is 4.96 states/eV/f.u.

abc: 2.7967 2.7967 24.5053
angles: 90.00 90.00 120.00
Space group R-3m (No. 166, hexagonal axes)
Unique sites:
Ni 0.0000 0.0000 0.2469 x6
Mo 0.0000 0.0000 0.0000 x3
Se 0.0000 0.0000 0.5000 x3

***

No. 16
## Ni2MoSe (PBE)

Data for a geometry-optimized Ni2MoSe structure.

Computed properties:
Its uncorrected energy is -6.278 eV/atom. Its density of states at the Fermi level is 3.28 states/eV/f.u.

abc: 8.070 2.866 4.834
angles: 90.00 101.12 90.00
Space group Cm (No. 8)
Unique sites:
Ni 0.000 0.000 0.000 x2
Ni 0.249 0.500 0.226 x2
Mo 0.498 0.000 0.469 x2
Se 0.247 0.000 0.786 x2

***

No. 17
## NiMoSe4 (PBE)

Data for a geometry-optimized NiMoSe4 structure.

Computed properties:
Its uncorrected energy is -3.873 eV/atom. Its density of states at the Fermi level is 9.92 states/eV/f.u.

abc: 7.842 7.842 7.842
angles: 90.00 90.00 90.00
Space group F-43m (No. 216)
Unique sites:
Ni 0.000 0.000 0.000 x4
Mo 0.250 0.250 0.250 x4
Se 0.125 0.125 0.625 x16

***

No. 18
## Ni2MoSe (PBE)

Data for a geometry-optimized Ni2MoSe structure.

Computed properties:
Its uncorrected energy is -6.335 eV/atom. Its density of states at the Fermi level is 3.28 states/eV/f.u.

abc: 3.793 2.897 5.100
angles: 90.00 98.13 90.00
Space group P2/m (No. 10)
Unique sites:
Ni 0.046 0.000 0.238 x2
Mo 0.500 0.500 0.000 x1
Se 0.500 0.500 0.500 x1

***

No. 19
## Ni2MoSe (PBE)

Data for a geometry-optimized Ni2MoSe structure.

Computed properties:
Its uncorrected energy is -6.151 eV/atom. Its density of states at the Fermi level is 5.79 states/eV/f.u.

abc: 3.674 3.674 8.032
angles: 90.00 90.00 90.00
Space group I4/mmm (No. 139)
Unique sites:
Ni 0.000 0.500 0.250 x4
Mo 0.000 0.000 0.000 x2
Se 0.000 0.000 0.500 x2

***

No. 20
## Ni2MoSe (PBE)

Data for a geometry-optimized Ni2MoSe structure.

Computed properties:
Its uncorrected energy is -6.209 eV/atom. Its density of states at the Fermi level is 4.59 states/eV/f.u.

abc: 3.669 3.669 3.985
angles: 90.00 90.00 90.00
Space group P4/mmm (No. 123)
Unique sites:
Ni 0.000 0.500 0.000 x2
Mo 0.000 0.000 0.500 x1
Se 0.500 0.500 0.500 x1